A plane-wave DFT calculation with SCAN was carried out for LiAg5 at its PBEsol-relaxed geometry.

Results
Density of states at the Fermi level: 0.232 states/eV/atom
Energy of formation: -58 meV/atom
Energy above the lowest structure with this stoichiometry: 0.025 eV per atom
Electronic total energy: -26.60 eV/atom
Total magnetic moment: 0.000 Bohr magnetons per cell

a = 2.837 Å, b = 2.837 Å, c = 12.091 Å
α = 90.00°, β = 90.00°, γ = 90.00°
Sites, in units of the cell vectors:
Li 0.000 0.000 0.000
Ag 0.000 0.000 0.330
Ag 0.000 0.000 0.670
Ag 0.500 0.500 0.159
Ag 0.500 0.500 0.500
Ag 0.500 0.500 0.841


A plane-wave DFT calculation with SCAN was carried out for CoRuAu2 at its PBEsol-relaxed geometry.

Results
Density of states at the Fermi level: 0.778 states/eV/atom
Energy of formation: 340 meV/atom
Electronic total energy: -47.27 eV/atom
Total magnetic moment: 3.940 Bohr magnetons per cell

a = 4.804 Å, b = 4.804 Å, c = 4.804 Å
α = 132.92°, β = 132.92°, γ = 68.78°
Sites, in units of the cell vectors:
Co 0.000 0.000 0.000
Ru 0.500 0.500 0.000
Au 0.250 0.750 0.500
Au 0.750 0.250 0.500